GGA+U MnAgAuF6, relaxed; E_tot = -4.3156 eV per atom; space-group type = P4_2nm (102); magnetization = 5.93 μB/cell; density = 5.8 g/cm³
1.0
5.0553 0.0000 0.0000
0.0000 5.0553 0.0000
0.0000 0.0000 10.6495
Mn Ag Au F
2 2 2 12
direct
0.5000 0.5000 0.8325
0.0000 0.0000 0.3325
0.5000 0.5000 0.1700
0.0000 0.0000 0.6700
0.5000 0.5000 0.4945
0.0000 0.0000 0.9945
0.1979 0.8021 0.4762
0.8021 0.1979 0.4762
0.3021 0.3021 0.9762
0.6979 0.6979 0.9762
0.1892 0.8108 0.1918
0.8108 0.1892 0.1918
0.3108 0.3108 0.6918
0.6892 0.6892 0.6918
0.7621 0.2379 0.8335
0.2379 0.7621 0.8335
0.7379 0.7379 0.3335
0.2621 0.2621 0.3335